[1]
The following is a PBE calculation of a relaxed structure of CaLa3Ru, from Alexandria via LeMat-Bulk.

The structure in extended XYZ format:
```
10
Lattice="-5.6965 -1.9731 3.5864 0.5445 -7.2322 -3.0967 2.9321 -3.9774 4.7730" Properties=species:S:1:pos:R:3 pbc="T T T"
Ru -2.9629 -4.0483 5.1549
Ru 0.2235 -8.1523 1.1563
Ca -2.9444 -6.6701 6.4323
Ca 0.0107 -7.3296 3.9453
La -2.5780 -8.6193 1.1030
La -2.8265 -5.0933 2.7525
La -0.0927 -2.1249 1.7220
La 0.1067 -5.7139 0.1963
La -2.7147 -10.2105 4.7917
La 0.2837 -10.8816 2.2662
```

Output
Its calculated total energy is -5.368 eV/atom. The space group is No. 1. Its excess energy over the best structure of this formula in the dataset is 1.5 kJ/mol of atoms. The value obtained for the total magnetization is 0.00 μB/atom.

***

[2]
The following is a PBE calculation of a relaxed structure of Tm4Pd2Rh, from Alexandria via LeMat-Bulk.

The structure in extended XYZ format:
```
7
Lattice="-3.6482 1.9338 -2.4847 -1.7438 -2.2679 -3.8780 -6.9759 -3.9812 2.4709" Properties=species:S:1:pos:R:3 pbc="T T T"
Tm -7.3122 -1.7689 -4.6601
Tm -5.0558 -2.5463 0.7683
Tm -4.2277 -0.6957 -3.6805
Tm -8.1403 -3.6195 -0.2113
Pd -9.2748 -3.2356 -2.9198
Pd -3.0931 -1.0796 -0.9719
Rh 0.0000 0.0000 0.0000
```

Output
Its calculated total energy is -5.887 eV/atom. The space group is No. 166. The value obtained for the total magnetization is 0.00 μB/atom.

***

[3]
The following is a PBE calculation of a relaxed structure of SrTaCd4, from Alexandria via LeMat-Bulk.

The structure in extended XYZ format:
```
6
Lattice="0.0000 4.1401 4.1401 4.1401 0.0000 4.1401 4.1401 4.1401 0.0000" Properties=species:S:1:pos:R:3 pbc="T T T"
Sr 6.2101 6.2101 6.2101
Ta 0.0000 0.0000 0.0000
Cd 3.0980 5.1821 5.1821
Cd 5.1821 5.1821 3.0980
Cd 5.1821 3.0980 5.1821
Cd 3.0980 3.0980 3.0980
```

Output
Its calculated total energy is -2.557 eV/atom. The space group is No. 216. The value obtained for the total magnetization is 0.46 μB/atom.

***

total magnetization of number 2 (Tm4Pd2Rh)?
0.00 μB/atom

***

calculated total energy of number 3 (SrTaCd4)?
-2.557 eV/atom